Entry 1:
The following is a DFT calculation (PBE-GGA) of an optimized crystal structure of LiAcPmOs.

```
data_LiAcPmOs
_chemical_formula_sum 'Li4 Ac4 Pm4 Os4'
_cell_length_a 7.314
_cell_length_b 7.314
_cell_length_c 7.314
_cell_angle_alpha 90.00
_cell_angle_beta 90.00
_cell_angle_gamma 90.00
_symmetry_space_group_name_H-M 'F -4 3 m'
_symmetry_Int_Tables_number 216
_symmetry_space_group_name_Hall 'F -4 2 3'
loop_
_atom_site_label
_atom_site_type_symbol
_atom_site_fract_x
_atom_site_fract_y
_atom_site_fract_z
Li1 Li 0.000 0.000 0.000
Ac1 Ac 0.250 0.250 0.750
Pm1 Pm 0.250 0.250 0.250
Os1 Os 0.000 0.000 0.500
```

## Properties
Total magnetic moment ... 0.0 μB/f.u.
E_form ... -0.01 eV per atom
N(E_F) ... 0.597 states/eV per atom

***

Entry 2:
The following is a DFT calculation (PBE-GGA) of an optimized crystal structure of BeSiCl2.

```
data_BeSiCl2
_chemical_formula_sum 'Be2 Si2 Cl4'
_cell_length_a 2.980
_cell_length_b 5.874
_cell_length_c 12.136
_cell_angle_alpha 90.00
_cell_angle_beta 90.00
_cell_angle_gamma 90.00
_symmetry_space_group_name_H-M 'C m m m'
_symmetry_Int_Tables_number 65
_symmetry_space_group_name_Hall '-C 2 2'
loop_
_atom_site_label
_atom_site_type_symbol
_atom_site_fract_x
_atom_site_fract_y
_atom_site_fract_z
Be1 Be 0.000 0.000 0.000
Si1 Si 0.000 0.000 0.500
Cl1 Cl 0.000 0.500 0.120
```

## Properties
Energy relative to the elements, uncorrected ... -205 meV per atom
Offset from the most stable computed form ... 162.9 meV per atom
Total magnetic moment ... 0.0 μB/f.u.
N(E_F) ... 0.205 states/eV per atom

***

Entry 3:
The following is a DFT calculation (PBE-GGA) of an optimized crystal structure of RbMo2Cl.

```
data_RbMo2Cl
_chemical_formula_sum 'Rb4 Mo8 Cl4'
_cell_length_a 6.691
_cell_length_b 6.691
_cell_length_c 6.691
_cell_angle_alpha 90.00
_cell_angle_beta 90.00
_cell_angle_gamma 90.00
_symmetry_space_group_name_H-M 'F m -3 m'
_symmetry_Int_Tables_number 225
_symmetry_space_group_name_Hall '-F 4 2 3'
loop_
_atom_site_label
_atom_site_type_symbol
_atom_site_fract_x
_atom_site_fract_y
_atom_site_fract_z
Rb1 Rb 0.000 0.000 0.000
Mo1 Mo 0.250 0.250 0.250
Cl1 Cl 0.000 0.000 0.500
```

## Properties
Energy relative to the elements, uncorrected ... 2283 meV per atom
Offset from the most stable computed form ... 1200.4 meV per atom
Total magnetic moment ... 0.0 μB/f.u.
N(E_F) ... 1.922 states/eV per atom

***

Entry 4:
The following is a DFT calculation (PBE-GGA) of an optimized crystal structure of TbNdPaO6.

```
data_TbNdPaO6
_chemical_formula_sum 'Tb1 Nd1 Pa1 O6'
_cell_length_a 5.9182
_cell_length_b 5.9182
_cell_length_c 4.6847
_cell_angle_alpha 90.00
_cell_angle_beta 90.00
_cell_angle_gamma 120.00
_symmetry_space_group_name_H-M 'P 3 1 2'
_symmetry_Int_Tables_number 149
_symmetry_space_group_name_Hall 'P 3 2'
loop_
_atom_site_label
_atom_site_type_symbol
_atom_site_fract_x
_atom_site_fract_y
_atom_site_fract_z
Tb1 Tb 0.0000 0.0000 0.0000
Nd1 Nd 0.6667 0.3333 0.0000
Pa1 Pa 0.3333 0.6667 0.5000
O1 O 0.0251 0.3484 0.2476
```

## Properties
Energy relative to the elements, uncorrected ... -3143 meV per atom
Total magnetic moment ... 0.7 μB/f.u.
N(E_F) ... 1.012 states/eV per atom

***

Entry 5:
The following is a DFT calculation (PBE-GGA) of an optimized crystal structure of AlIn.

```
data_AlIn
_chemical_formula_sum 'Al4 In4'
_cell_length_a 5.792
_cell_length_b 5.792
_cell_length_c 5.792
_cell_angle_alpha 90.00
_cell_angle_beta 90.00
_cell_angle_gamma 90.00
_symmetry_space_group_name_H-M 'F m -3 m'
_symmetry_Int_Tables_number 225
_symmetry_space_group_name_Hall '-F 4 2 3'
loop_
_atom_site_label
_atom_site_type_symbol
_atom_site_fract_x
_atom_site_fract_y
_atom_site_fract_z
Al1 Al 0.000 0.000 0.000
In1 In 0.000 0.000 0.500
```

## Properties
Total magnetic moment ... 0.0 μB/f.u.
E_form ... 0.29 eV per atom
N(E_F) ... 0.258 states/eV per atom

***

Entry 6:
The following is a DFT calculation (PBE-GGA) of an optimized crystal structure of ZrNbN3.

```
data_ZrNbN3
_chemical_formula_sum 'Zr1 Nb1 N3'
_cell_length_a 3.999
_cell_length_b 3.999
_cell_length_c 3.999
_cell_angle_alpha 90.00
_cell_angle_beta 90.00
_cell_angle_gamma 90.00
_symmetry_space_group_name_H-M 'P m -3 m'
_symmetry_Int_Tables_number 221
_symmetry_space_group_name_Hall '-P 4 2 3'
loop_
_atom_site_label
_atom_site_type_symbol
_atom_site_fract_x
_atom_site_fract_y
_atom_site_fract_z
Zr1 Zr 0.000 0.000 0.000
Nb1 Nb 0.500 0.500 0.500
N1 N 0.000 0.500 0.500
```

## Properties
Energy relative to the elements, uncorrected ... -216 meV per atom
Total magnetic moment ... 0.0 μB/f.u.
N(E_F) ... 0.151 states/eV per atom

***

Entry 7:
The following is a DFT calculation (PBE-GGA) of an optimized crystal structure of AcAuO6.

```
data_AcAuO6
_chemical_formula_sum 'Ac3 Au3 O18'
_cell_length_a 7.2010
_cell_length_b 7.2010
_cell_length_c 7.3406
_cell_angle_alpha 90.00
_cell_angle_beta 90.00
_cell_angle_gamma 120.00
_symmetry_space_group_name_H-M 'R -3 m'
_symmetry_Int_Tables_number 166
_symmetry_space_group_name_Hall '-R 3 2"'
loop_
_atom_site_label
_atom_site_type_symbol
_atom_site_fract_x
_atom_site_fract_y
_atom_site_fract_z
Ac1 Ac 0.0000 0.0000 0.0000
Au1 Au 0.0000 0.0000 0.5000
O1 O 0.0896 0.5448 0.3435
```

## Properties
Energy relative to the elements, uncorrected ... -555 meV per atom
Total magnetic moment ... 4.0 μB/f.u.
N(E_F) ... 0.628 states/eV per atom

***

Entry 8:
The following is a DFT calculation (PBE-GGA) of an optimized crystal structure of Nd3HoEr8.

```
data_Nd3HoEr8
_chemical_formula_sum 'Nd6 Ho2 Er16'
_cell_length_a 8.725
_cell_length_b 8.725
_cell_length_c 11.278
_cell_angle_alpha 90.00
_cell_angle_beta 90.00
_cell_angle_gamma 90.00
_symmetry_space_group_name_H-M 'I -4 2 m'
_symmetry_Int_Tables_number 121
_symmetry_space_group_name_Hall 'I -4 2'
loop_
_atom_site_label
_atom_site_type_symbol
_atom_site_fract_x
_atom_site_fract_y
_atom_site_fract_z
Nd1 Nd 0.000 0.000 0.000
Nd2 Nd 0.000 0.500 0.250
Ho1 Ho 0.000 0.000 0.500
Er1 Er 0.126 0.126 0.745
Er2 Er 0.244 0.244 0.489
```

## Properties
Total magnetic moment ... 0.0 μB/f.u.
E_form ... 0.64 eV per atom
N(E_F) ... 1.472 states/eV per atom

***

Entry 9:
The following is a DFT calculation (PBE-GGA) of an optimized crystal structure of Zr8Ga2Bi.

```
data_Zr8Ga2Bi
_chemical_formula_sum 'Zr16 Ga4 Bi2'
_cell_length_a 7.949
_cell_length_b 12.740
_cell_length_c 5.318
_cell_angle_alpha 90.00
_cell_angle_beta 111.15
_cell_angle_gamma 90.00
_symmetry_space_group_name_H-M 'C 1 2/m 1'
_symmetry_Int_Tables_number 12
_symmetry_space_group_name_Hall '-C 2y'
loop_
_atom_site_label
_atom_site_type_symbol
_atom_site_fract_x
_atom_site_fract_y
_atom_site_fract_z
Zr1 Zr 0.000 0.241 0.000
Zr2 Zr 0.084 0.500 0.800
Zr3 Zr 0.200 0.120 0.617
Ga1 Ga 0.000 0.309 0.500
Bi1 Bi 0.000 0.000 0.000
```

## Properties
Total magnetic moment ... 0.0 μB/f.u.
E_form ... -0.19 eV per atom
N(E_F) ... 0.880 states/eV per atom

***

Entry 10:
The following is a DFT calculation (PBE-GGA) of an optimized crystal structure of Pm6PrAl2.

```
data_Pm6PrAl2
_chemical_formula_sum 'Pm12 Pr2 Al4'
_cell_length_a 12.859
_cell_length_b 3.817
_cell_length_c 12.063
_cell_angle_alpha 90.00
_cell_angle_beta 109.38
_cell_angle_gamma 90.00
_symmetry_space_group_name_H-M 'C 1 2/m 1'
_symmetry_Int_Tables_number 12
_symmetry_space_group_name_Hall '-C 2y'
loop_
_atom_site_label
_atom_site_type_symbol
_atom_site_fract_x
_atom_site_fract_y
_atom_site_fract_z
Pm1 Pm 0.022 0.000 0.326
Pm2 Pm 0.188 0.500 0.586
Pm3 Pm 0.190 0.500 0.874
Pr1 Pr 0.000 0.000 0.000
Al1 Al 0.152 0.500 0.210
```

## Properties
Total magnetic moment ... 0.0 μB/f.u.
E_form ... -0.14 eV per atom
N(E_F) ... 1.096 states/eV per atom

***

Entry 11:
The following is a DFT calculation (PBE-GGA) of an optimized crystal structure of SmUMn17.

```
data_SmUMn17
_chemical_formula_sum 'Sm3 U3 Mn51'
_cell_length_a 8.6139
_cell_length_b 8.6139
_cell_length_c 11.5863
_cell_angle_alpha 90.00
_cell_angle_beta 90.00
_cell_angle_gamma 120.00
_symmetry_space_group_name_H-M 'R 3 m'
_symmetry_Int_Tables_number 160
_symmetry_space_group_name_Hall 'R 3 -2"'
loop_
_atom_site_label
_atom_site_type_symbol
_atom_site_fract_x
_atom_site_fract_y
_atom_site_fract_z
Sm1 Sm 0.0000 0.0000 0.0000
U1 U 0.0000 0.0000 0.2926
Mn1 Mn 0.0000 0.0000 0.5411
Mn2 Mn 0.0000 0.0000 0.7440
Mn3 Mn 0.0023 0.5011 0.5096
Mn4 Mn 0.0615 0.3932 0.3118
Mn5 Mn 0.1680 0.3360 0.4802
Mn6 Mn 0.1771 0.3542 0.1103
```

## Properties
Total magnetic moment ... 4.0 μB/f.u.
E_form ... 0.05 eV per atom
N(E_F) ... 1.349 states/eV per atom

***

Entry 12:
The following is a DFT calculation (PBE-GGA) of an optimized crystal structure of Ba2YGa2S6.

```
data_Ba2YGa2S6
_chemical_formula_sum 'Ba4 Y2 Ga4 S12'
_cell_length_a 11.537
_cell_length_b 7.258
_cell_length_c 7.906
_cell_angle_alpha 90.00
_cell_angle_beta 112.96
_cell_angle_gamma 90.00
_symmetry_space_group_name_H-M 'C 1 2/m 1'
_symmetry_Int_Tables_number 12
_symmetry_space_group_name_Hall '-C 2y'
loop_
_atom_site_label
_atom_site_type_symbol
_atom_site_fract_x
_atom_site_fract_y
_atom_site_fract_z
Ba1 Ba 0.200 0.000 0.171
Y1 Y 0.000 0.000 0.500
Ga1 Ga 0.043 0.500 0.347
S1 S 0.053 0.238 0.794
S2 S 0.250 0.000 0.587
```

## Properties
Energy relative to the elements, uncorrected ... -1386 meV per atom
Total magnetic moment ... 0.0 μB/f.u.
N(E_F) ... 0.360 states/eV per atom